Record 1
The following is a DFT calculation (meta-GGA SCAN) of a PBEsol-optimized structure of Ba3MgAl.

a = 6.447 Å, b = 6.447 Å, c = 6.447 Å
α = 90.00°, β = 90.00°, γ = 90.00°
Element x y z (fractional)
Ba 0.000 0.000 0.500
Ba 0.000 0.500 0.000
Ba 0.500 0.000 0.000
Mg 0.000 0.000 0.000
Al 0.500 0.500 0.500

Formation energy, meV/atom: 531.1
SG: Pm-3m (221)

Record 2
The following is a DFT calculation (meta-GGA SCAN) of a PBEsol-optimized structure of MoPt2.

a = 4.762 Å, b = 4.477 Å, c = 8.376 Å
α = 90.00°, β = 90.00°, γ = 90.00°
Element x y z (fractional)
Mo 0.175 0.250 0.164
Mo 0.325 0.750 0.664
Mo 0.675 0.250 0.336
Mo 0.825 0.750 0.836
Pt 0.169 0.250 0.834
Pt 0.175 0.250 0.496
Pt 0.325 0.750 0.996
Pt 0.331 0.750 0.334
Pt 0.669 0.250 0.666
Pt 0.675 0.250 0.004
Pt 0.825 0.750 0.504
Pt 0.831 0.750 0.166

Formation energy, meV/atom: -359.7
SG: Pnma (62)

Record 3
The following is a DFT calculation (meta-GGA SCAN) of a PBEsol-optimized structure of NiSb3N.

a = 4.583 Å, b = 4.583 Å, c = 4.583 Å
α = 90.00°, β = 90.00°, γ = 90.00°
Element x y z (fractional)
Ni 0.000 0.000 0.000
Sb 0.000 0.500 0.500
Sb 0.500 0.000 0.500
Sb 0.500 0.500 0.000
N 0.500 0.500 0.500

Energy, eV/atom: -26.548
SG: Pm-3m (221)

Record 4
The following is a DFT calculation (meta-GGA SCAN) of a PBEsol-optimized structure of K3CrI.

a = 6.544 Å, b = 6.544 Å, c = 6.544 Å
α = 90.00°, β = 90.00°, γ = 90.00°
Element x y z (fractional)
K 0.000 0.000 0.500
K 0.000 0.500 0.000
K 0.500 0.000 0.000
Cr 0.500 0.500 0.500
I 0.000 0.000 0.000

Energy, eV/atom: -16.130
SG: Pm-3m (221)